# Ca2CoMoW GGA-PBE relaxed
# Calculated volume in Å³ per cell: 109.5
# Calculated formation energy in meV per atom: 1424
# DOS(E_F) in states/eV per atom: 1.64
data_Ca2CoMoW
_chemical_formula_sum 'Ca2 Co1 Mo1 W1'
_space_group_name_H-M_alt 'P 4/m m m'
_space_group_IT_number 123
_space_group_name_Hall '-P 4 2'
_cell_length_a 4.8343
_cell_length_b 4.8343
_cell_length_c 4.6863
_cell_angle_alpha 90.00
_cell_angle_beta 90.00
_cell_angle_gamma 90.00
loop_
_atom_site_label
_atom_site_type_symbol
_atom_site_fract_x
_atom_site_fract_y
_atom_site_fract_z
Ca1 Ca 0.0000 0.5000 0.0000
Co1 Co 0.0000 0.0000 0.0000
Mo1 Mo 0.5000 0.5000 0.5000
W1 W 0.0000 0.0000 0.5000

=====

# Ca2ZnCoMo GGA-PBE relaxed
# Calculated volume in Å³ per cell: 139.4
# Calculated formation energy in meV per atom: 881
# DOS(E_F) in states/eV per atom: 1.18
data_Ca2ZnCoMo
_chemical_formula_sum 'Ca2 Zn1 Co1 Mo1'
_space_group_name_H-M_alt 'P 4/m m m'
_space_group_IT_number 123
_space_group_name_Hall '-P 4 2'
_cell_length_a 5.6826
_cell_length_b 5.6826
_cell_length_c 4.3165
_cell_angle_alpha 90.00
_cell_angle_beta 90.00
_cell_angle_gamma 90.00
loop_
_atom_site_label
_atom_site_type_symbol
_atom_site_fract_x
_atom_site_fract_y
_atom_site_fract_z
Ca1 Ca 0.0000 0.5000 0.0000
Zn1 Zn 0.0000 0.0000 0.5000
Co1 Co 0.5000 0.5000 0.5000
Mo1 Mo 0.5000 0.5000 0.0000

=====

# CaCoN3 GGA-PBE relaxed
# Energy relative to the elements, uncorrected in eV per atom: 2.58
# Calculated volume in Å³ per cell: 73.1
# DOS(E_F) in states/eV per atom: 0.96
data_CaCoN3
_chemical_formula_sum 'Ca1 Co1 N3'
_space_group_name_H-M_alt 'P m -3 m'
_space_group_IT_number 221
_space_group_name_Hall '-P 4 2 3'
_cell_length_a 4.1803
_cell_length_b 4.1803
_cell_length_c 4.1803
_cell_angle_alpha 90.00
_cell_angle_beta 90.00
_cell_angle_gamma 90.00
loop_
_atom_site_label
_atom_site_type_symbol
_atom_site_fract_x
_atom_site_fract_y
_atom_site_fract_z
Ca1 Ca 0.0000 0.0000 0.0000
Co1 Co 0.5000 0.5000 0.5000
N1 N 0.0000 0.0000 0.5000

=====

# CaCoN3 GGA-PBE relaxed
# Energy relative to the elements, uncorrected in eV per atom: 0.61
# Calculated volume in Å³ per cell: 52.5
# DOS(E_F) in states/eV per atom: 1.07
data_CaCoN3
_chemical_formula_sum 'Ca1 Co1 N3'
_space_group_name_H-M_alt 'P m -3 m'
_space_group_IT_number 221
_space_group_name_Hall '-P 4 2 3'
_cell_length_a 3.7433
_cell_length_b 3.7433
_cell_length_c 3.7433
_cell_angle_alpha 90.00
_cell_angle_beta 90.00
_cell_angle_gamma 90.00
loop_
_atom_site_label
_atom_site_type_symbol
_atom_site_fract_x
_atom_site_fract_y
_atom_site_fract_z
Ca1 Ca 0.0000 0.0000 0.0000
Co1 Co 0.5000 0.5000 0.5000
N1 N 0.0000 0.5000 0.5000

=====

# CaCoN2 GGA-PBE relaxed
# Energy relative to the elements, uncorrected in eV per atom: -0.27
# Calculated volume in Å³ per cell: 195.2
# DOS(E_F) in states/eV per atom: 0.68
data_CaCoN2
_chemical_formula_sum 'Ca4 Co4 N8'
_space_group_name_H-M_alt 'I -4 2 d'
_space_group_IT_number 122
_space_group_name_Hall 'I -4 2bw'
_cell_length_a 5.4990
_cell_length_b 5.4990
_cell_length_c 6.4540
_cell_angle_alpha 90.00
_cell_angle_beta 90.00
_cell_angle_gamma 90.00
loop_
_atom_site_label
_atom_site_type_symbol
_atom_site_fract_x
_atom_site_fract_y
_atom_site_fract_z
Ca1 Ca 0.0000 0.0000 0.0000
Co1 Co 0.0000 0.0000 0.5000
N1 N 0.1550 0.7500 0.6250

=====

# Ca2Co2N3 GGA-PBE relaxed
# Energy relative to the elements, uncorrected in eV per atom: -0.39
# Calculated volume in Å³ per cell: 173.7
# DOS(E_F) in states/eV per atom: 0.66
data_Ca2Co2N3
_chemical_formula_sum 'Ca4 Co4 N6'
_space_group_name_H-M_alt 'C 1 2/m 1'
_space_group_IT_number 12
_cell_length_a 10.8861
_cell_length_b 3.3484
_cell_length_c 5.0766
_cell_angle_alpha 90.00
_cell_angle_beta 110.14
_cell_angle_gamma 90.00
loop_
_space_group_symop_operation_xyz
'x,y,z'
'-x,-y,-z'
'-x,y,-z'
'x,-y,z'
'x+1/2,y+1/2,z'
'-x+1/2,-y+1/2,-z'
'-x+1/2,y+1/2,-z'
'x+1/2,-y+1/2,z'
loop_
_atom_site_label
_atom_site_type_symbol
_atom_site_fract_x
_atom_site_fract_y
_atom_site_fract_z
Ca1 Ca 0.1130 0.0000 0.3137
Co1 Co 0.1475 0.5000 0.8098
N1 N 0.0000 0.5000 0.5000
N2 N 0.2349 0.0000 0.8002

=====

# CaCoN2 GGA-PBE relaxed
# Energy relative to the elements, uncorrected in eV per atom: 0.65
# Calculated volume in Å³ per cell: 155.9
# DOS(E_F) in states/eV per atom: 0.92
data_CaCoN2
_chemical_formula_sum 'Ca3 Co3 N6'
_space_group_name_H-M_alt 'R -3 m'
_space_group_IT_number 166
_space_group_name_Hall '-R 3 2"'
_cell_length_a 3.2201
_cell_length_b 3.2201
_cell_length_c 17.3620
_cell_angle_alpha 90.00
_cell_angle_beta 90.00
_cell_angle_gamma 120.00
loop_
_atom_site_label
_atom_site_type_symbol
_atom_site_fract_x
_atom_site_fract_y
_atom_site_fract_z
Ca1 Ca 0.0000 0.0000 0.0000
Co1 Co 0.0000 0.0000 0.5000
N1 N 0.0000 0.0000 0.1259

=====

# Ca5Co2N6 GGA-PBE relaxed
# Energy relative to the elements, uncorrected in eV per atom: -0.55
# Calculated volume in Å³ per cell: 747.8
# DOS(E_F) in states/eV per atom: 0.45
data_Ca5Co2N6
_chemical_formula_sum 'Ca20 Co8 N24'
_space_group_name_H-M_alt 'C 1 2/c 1'
_space_group_IT_number 15
_cell_length_a 9.8326
_cell_length_b 6.2195
_cell_length_c 12.5141
_cell_angle_alpha 90.00
_cell_angle_beta 102.27
_cell_angle_gamma 90.00
loop_
_space_group_symop_operation_xyz
'x,y,z'
'-x,-y,-z'
'-x,y,-z+1/2'
'x,-y,z+1/2'
'x+1/2,y+1/2,z'
'-x+1/2,-y+1/2,-z'
'-x+1/2,y+1/2,-z+1/2'
'x+1/2,-y+1/2,z+1/2'
loop_
_atom_site_label
_atom_site_type_symbol
_atom_site_fract_x
_atom_site_fract_y
_atom_site_fract_z
Ca1 Ca 0.0000 0.1310 0.2500
Ca2 Ca 0.0654 0.2403 0.9997
Ca3 Ca 0.1588 0.3934 0.7229
Co1 Co 0.2285 0.3870 0.4343
N1 N 0.0537 0.4618 0.3713
N2 N 0.1448 0.0320 0.6452
N3 N 0.2171 0.0538 0.4265

=====

# CaCo2N3 GGA-PBE relaxed
# Energy relative to the elements, uncorrected in eV per atom: -0.16
# Calculated volume in Å³ per cell: 271.6
# DOS(E_F) in states/eV per atom: 0.56
data_CaCo2N3
_chemical_formula_sum 'Ca4 Co8 N12'
_space_group_name_H-M_alt 'C m c m'
_space_group_IT_number 63
_space_group_name_Hall '-C 2c 2'
_cell_length_a 5.9766
_cell_length_b 10.0047
_cell_length_c 4.5424
_cell_angle_alpha 90.00
_cell_angle_beta 90.00
_cell_angle_gamma 90.00
loop_
_atom_site_label
_atom_site_type_symbol
_atom_site_fract_x
_atom_site_fract_y
_atom_site_fract_z
Ca1 Ca 0.0000 0.2378 0.2500
Co1 Co 0.1989 0.5000 0.0000
N1 N 0.0000 0.4024 0.7500
N2 N 0.1115 0.1060 0.7500

=====

# CaCoN2 GGA-PBE relaxed
# Energy relative to the elements, uncorrected in eV per atom: 0.60
# Calculated volume in Å³ per cell: 166.0
# DOS(E_F) in states/eV per atom: 0.54
data_CaCoN2
_chemical_formula_sum 'Ca4 Co4 N8'
_space_group_name_H-M_alt 'F m -3 m'
_space_group_IT_number 225
_space_group_name_Hall '-F 4 2 3'
_cell_length_a 5.4963
_cell_length_b 5.4963
_cell_length_c 5.4963
_cell_angle_alpha 90.00
_cell_angle_beta 90.00
_cell_angle_gamma 90.00
loop_
_atom_site_label
_atom_site_type_symbol
_atom_site_fract_x
_atom_site_fract_y
_atom_site_fract_z
Ca1 Ca 0.0000 0.0000 0.0000
Co1 Co 0.0000 0.0000 0.5000
N1 N 0.2500 0.2500 0.2500

=====

Q: Among the records above, which one has the lowest DOS(E_F)?
A: Ca5Co2N6

=====

Q: The highest DOS(E_F) belongs to which entry?
A: Ca2CoMoW

=====

Q: Which value of calculated volume does entry 5 give?
A: 195.2 Å³ per cell